Compound: K2PrCl5
Source: Alexandria
Functional: PBEsol
Structure: relaxed

abc: 7.958 8.687 12.605
angles: 90.00 90.00 90.00
Fractional positions:
K (0.047, 0.504, 0.827)
K (0.047, 0.996, 0.827)
K (0.547, 0.496, 0.673)
K (0.547, 0.004, 0.673)
K (0.953, 0.496, 0.173)
K (0.453, 0.504, 0.327)
K (0.953, 0.004, 0.173)
K (0.453, 0.996, 0.327)
Pr (0.924, 0.750, 0.493)
Pr (0.076, 0.250, 0.507)
Pr (0.576, 0.750, 0.993)
Pr (0.424, 0.250, 0.007)
Cl (0.164, 0.956, 0.581)
Cl (0.336, 0.956, 0.081)
Cl (0.836, 0.456, 0.419)
Cl (0.426, 0.250, 0.508)
Cl (0.574, 0.750, 0.492)
Cl (0.836, 0.044, 0.419)
Cl (0.074, 0.250, 0.008)
Cl (0.664, 0.456, 0.919)
Cl (0.664, 0.044, 0.919)
Cl (0.171, 0.250, 0.293)
Cl (0.829, 0.750, 0.707)
Cl (0.164, 0.544, 0.581)
Cl (0.671, 0.750, 0.207)
Cl (0.135, 0.750, 0.319)
Cl (0.926, 0.750, 0.992)
Cl (0.329, 0.250, 0.793)
Cl (0.365, 0.750, 0.819)
Cl (0.336, 0.544, 0.081)
Cl (0.635, 0.250, 0.181)
Cl (0.865, 0.250, 0.681)

V: 27.230 Å³/atom
density of states at the Fermi level: 0.00 states/eV/atom
DFT total energy: -0.3199 Ry per atom
energy relative to the elements, uncorrected: -2.1656 eV/atom

***

Compound: HfZn3S
Source: Alexandria
Functional: PBEsol
Structure: relaxed

abc: 4.526 4.526 4.526
angles: 90.00 90.00 90.00
Fractional positions:
Zn (0.000, 0.500, 0.000)
Zn (0.000, 0.000, 0.500)
Zn (0.500, 0.000, 0.000)
Hf (0.500, 0.500, 0.500)
S (0.000, 0.000, 0.000)

V: 18.547 Å³/atom
density of states at the Fermi level: 0.77 states/eV/atom
DFT total energy: -0.2440 Ry per atom
energy relative to the elements, uncorrected: 0.6074 eV/atom

***

Compound: LiHf2Co
Source: Alexandria
Functional: PBEsol
Structure: relaxed

abc: 5.615 5.717 5.717
angles: 76.04 60.59 60.59
Fractional positions:
Co (0.000, 0.000, 0.000)
Co (0.750, 0.500, 0.500)
Hf (0.875, 0.040, 0.460)
Hf (0.375, 0.960, 0.540)
Hf (0.665, 0.460, 0.960)
Hf (0.085, 0.540, 0.040)
Li (0.500, 0.000, 0.000)
Li (0.250, 0.500, 0.500)

V: 17.404 Å³/atom
density of states at the Fermi level: 0.87 states/eV/atom
DFT total energy: -0.5415 Ry per atom
E_form: 0.310 eV per atom

***

Compound: Ca6Br2N3Cl
Source: Alexandria
Functional: PBEsol
Structure: relaxed

abc: 3.649 3.649 20.197
angles: 90.00 90.00 120.00
Fractional positions:
Ca (0.333, 0.667, 0.899)
Ca (0.667, 0.333, 0.560)
Ca (0.000, 0.000, 0.221)
Ca (0.000, 0.000, 0.779)
Ca (0.333, 0.667, 0.440)
Ca (0.667, 0.333, 0.101)
Br (0.333, 0.667, 0.669)
Br (0.667, 0.333, 0.331)
N (0.667, 0.333, 0.839)
N (0.000, 0.000, 0.500)
N (0.333, 0.667, 0.161)
Cl (0.000, 0.000, 0.000)

V: 19.406 Å³/atom
density of states at the Fermi level: 0.00 states/eV/atom
DFT total energy: -0.3844 Ry per atom
energy relative to the elements, uncorrected: -1.5524 eV/atom

***

Compound: Li3GeAs
Source: Alexandria
Functional: PBEsol
Structure: relaxed

abc: 4.656 4.656 4.656
angles: 90.00 90.00 90.00
Fractional positions:
As (0.000, 0.000, 0.000)
Ge (0.500, 0.500, 0.500)
Li (0.000, 0.500, 0.000)
Li (0.000, 0.000, 0.500)
Li (0.500, 0.000, 0.000)

V: 20.181 Å³/atom
density of states at the Fermi level: 0.55 states/eV/atom
DFT total energy: -0.2351 Ry per atom
E_form: -0.010 eV per atom

***

Compound: Sr2InAu
Source: Alexandria
Functional: PBEsol
Structure: relaxed

abc: 3.809 3.809 8.014
angles: 90.00 90.00 90.00
Fractional positions:
Sr (0.000, 0.000, 0.770)
Sr (0.000, 0.000, 0.230)
Au (0.500, 0.500, 0.000)
In (0.500, 0.500, 0.500)

V: 29.073 Å³/atom
density of states at the Fermi level: 0.76 states/eV/atom
DFT total energy: -0.2349 Ry per atom
E_form: -0.549 eV per atom